A geometry-optimized ZnSi2Ag structure, computed with GGA-PBE.

Output
- ΔE_f (raw): 0.31 eV per atom
- DOS(E_F): 0.263 states/eV per atom
- Raw total energy: -3.429 eV per atom
- Symmetry: C2/m, No. 12
- Volume: 64.17 Å³ per cell

POSCAR file:
```
ZnSi2Ag
1.0
-2.598 -2.914 2.939
-3.735 -3.134 0.328
2.394 -4.200 -0.688
Ag Si Zn
1 2 1
Direct
0.750 0.750 0.750
0.004 0.004 0.022
0.496 0.496 0.478
0.250 0.250 0.250
```